First-principles (GGA-PBE) data for crystalline Rb2CrSbBr6 at its relaxed geometry, as listed in the Alexandria database.

Cell: 7.881 7.881 7.889 Å, 60.04 60.04 90.00°
Sites, in units of the cell vectors:
Sb  0.000  0.000  0.000
Br  0.259  0.259  0.482
Br  0.741  0.741  0.518
Br  0.260  0.260  0.000
Br  0.740  0.740  0.000
Br  0.740  0.260  0.000
Br  0.260  0.740  0.000
Rb  0.750  0.250  0.500
Rb  0.250  0.750  0.500
Cr  0.500  0.500  0.000

Properties
DOS(E_F) (states/eV/f.u.): 1.572
E_form (uncorrected) (eV/atom): -0.987
DFT total energy (eV per atom): -3.5593
Total magnetic moment (μB/atom): 0.5005

---

First-principles (GGA-PBE) data for crystalline Rb2ScCrBr6 at its relaxed geometry, as listed in the Alexandria database.

Cell: 7.715 7.715 7.716 Å, 60.01 60.01 90.00°
Sites, in units of the cell vectors:
Sc  0.500  0.500  0.000
Cr  0.000  0.000  0.000
Br  0.254  0.254  0.493
Br  0.746  0.746  0.507
Br  0.254  0.254  0.000
Br  0.746  0.746  0.000
Br  0.746  0.254  0.000
Br  0.254  0.746  0.000
Rb  0.750  0.250  0.500
Rb  0.250  0.750  0.500

Properties
DOS(E_F) (states/eV/f.u.): 0.000
E_form (uncorrected) (eV/atom): -1.382
DFT total energy (eV per atom): -4.1745
Total magnetic moment (μB/atom): 0.5000

---

First-principles (GGA-PBE) data for crystalline RbSrCr2Br8 at its relaxed geometry, as listed in the Alexandria database.

Cell: 7.172 7.172 10.155 Å, 90.00 90.00 120.00°
Sites, in units of the cell vectors:
Rb  0.000  0.000  0.000
Sr  0.000  0.000  0.500
Cr  0.667  0.333  0.256
Cr  0.333  0.667  0.744
Br  0.333  0.667  0.976
Br  0.331  0.334  0.309
Br  0.666  0.998  0.309
Br  0.667  0.333  0.024
Br  0.334  0.002  0.691
Br  0.669  0.666  0.691
Br  0.998  0.331  0.691
Br  0.002  0.669  0.309

Properties
DOS(E_F) (states/eV/f.u.): 14.599
E_form (uncorrected) (eV/atom): -1.097
DFT total energy (eV per atom): -4.0366
Total magnetic moment (μB/atom): 0.5833

---

First-principles (GGA-PBE) data for crystalline RbSr2CrBr8 at its relaxed geometry, as listed in the Alexandria database.

Cell: 6.886 6.757 9.388 Å, 89.93 89.97 89.32°
Sites, in units of the cell vectors:
Rb  0.000  0.000  0.500
Sr  0.500  0.500  0.757
Sr  0.500  0.500  0.243
Cr  0.000  0.000  0.000
Br  0.146  0.780  0.191
Br  0.693  0.777  0.000
Br  0.853  0.219  0.190
Br  0.854  0.220  0.809
Br  0.307  0.223  0.000
Br  0.147  0.781  0.810
Br  0.613  0.738  0.500
Br  0.387  0.262  0.500

Properties
E_form (uncorrected) (eV/atom): -1.526
DFT total energy (eV per atom): -3.8042
Total magnetic moment (μB/atom): 0.2465

---

First-principles (GGA-PBE) data for crystalline Rb2SrCrBr6 at its relaxed geometry, as listed in the Alexandria database.

Cell: 7.999 7.992 11.300 Å, 90.00 90.00 90.00°
Sites, in units of the cell vectors:
Rb  0.500  0.751  0.251
Rb  0.000  0.249  0.751
Rb  0.500  0.751  0.749
Rb  0.000  0.249  0.249
Sr  0.000  0.749  0.500
Sr  0.500  0.251  0.000
Cr  0.500  0.249  0.500
Cr  0.000  0.751  0.000
Br  0.500  0.250  0.265
Br  0.500  0.250  0.735
Br  0.000  0.750  0.235
Br  0.000  0.750  0.765
Br  0.265  0.014  0.500
Br  0.735  0.014  0.500
Br  0.265  0.484  0.500
Br  0.735  0.484  0.500
Br  0.765  0.516  0.000
Br  0.235  0.516  0.000
Br  0.235  0.986  0.000
Br  0.765  0.986  0.000

Properties
DOS(E_F) (states/eV/f.u.): 5.326
E_form (uncorrected) (eV/atom): -1.482
DFT total energy (eV per atom): -3.8094
Total magnetic moment (μB/atom): 0.4000

---

First-principles (GGA-PBE) data for crystalline RbTaCrBr2 at its relaxed geometry, as listed in the Alexandria database.

Cell: 5.569 4.680 5.569 Å, 90.00 90.00 90.00°
Sites, in units of the cell vectors:
Cr  0.000  0.000  0.000
Br  0.000  0.000  0.500
Br  0.500  0.000  0.000
Rb  0.500  0.500  0.500
Ta  0.000  0.500  0.000

Properties
DOS(E_F) (states/eV/f.u.): 4.902
E_form (uncorrected) (eV/atom): 0.514
DFT total energy (eV per atom): -4.6439
Total magnetic moment (μB/atom): 0.5838

---

First-principles (GGA-PBE) data for crystalline Rb2TaCrBr6 at its relaxed geometry, as listed in the Alexandria database.

Cell: 7.678 7.678 7.685 Å, 60.03 60.03 90.00°
Sites, in units of the cell vectors:
Cr  0.500  0.500  0.000
Br  0.245  0.245  0.510
Br  0.755  0.755  0.490
Br  0.246  0.246  0.000
Br  0.754  0.754  0.000
Br  0.754  0.246  0.000
Br  0.246  0.754  0.000
Rb  0.750  0.250  0.500
Rb  0.250  0.750  0.500
Ta  0.000  0.000  0.000

Properties
DOS(E_F) (states/eV/f.u.): 13.861
E_form (uncorrected) (eV/atom): -0.901
DFT total energy (eV per atom): -4.2462
Total magnetic moment (μB/atom): 0.7000

---

First-principles (GGA-PBE) data for crystalline Rb2CrTcBr6 at its relaxed geometry, as listed in the Alexandria database.

Cell: 7.510 7.510 7.506 Å, 59.98 59.98 90.00°
Sites, in units of the cell vectors:
Cr  0.500  0.500  0.000
Br  0.247  0.247  0.507
Br  0.753  0.753  0.493
Br  0.245  0.245  0.000
Br  0.755  0.755  0.000
Br  0.755  0.245  0.000
Br  0.245  0.755  0.000
Tc  0.000  0.000  0.000
Rb  0.750  0.250  0.500
Rb  0.250  0.750  0.500

Properties
DOS(E_F) (states/eV/f.u.): 9.705
E_form (uncorrected) (eV/atom): -0.787
DFT total energy (eV per atom): -3.9832
Total magnetic moment (μB/atom): 0.4467

---

First-principles (GGA-PBE) data for crystalline Rb2TiCrBr6 at its relaxed geometry, as listed in the Alexandria database.

Cell: 7.596 7.596 7.595 Å, 60.00 60.00 90.00°
Sites, in units of the cell vectors:
Cr  0.000  0.000  0.000
Br  0.254  0.254  0.492
Br  0.746  0.746  0.508
Br  0.254  0.254  0.000
Br  0.746  0.746  0.000
Br  0.746  0.254  0.000
Br  0.254  0.746  0.000
Rb  0.750  0.250  0.500
Rb  0.250  0.750  0.500
Ti  0.500  0.500  0.000

Properties
DOS(E_F) (states/eV/f.u.): 9.798
E_form (uncorrected) (eV/atom): -1.169
DFT total energy (eV per atom): -4.1176
Total magnetic moment (μB/atom): 0.3394

---

First-principles (GGA-PBE) data for crystalline Rb3TlCr2Br9 at its relaxed geometry, as listed in the Alexandria database.

Cell: 7.592 7.592 10.459 Å, 90.00 90.00 120.00°
Sites, in units of the cell vectors:
Rb  0.333  0.667  0.724
Rb  0.000  0.000  0.000
Rb  0.667  0.333  0.276
Tl  0.000  0.000  0.500
Cr  0.333  0.667  0.152
Cr  0.667  0.333  0.848
Br  0.826  0.174  0.715
Br  0.826  0.653  0.715
Br  0.347  0.174  0.715
Br  0.653  0.826  0.285
Br  0.174  0.347  0.285
Br  0.174  0.826  0.285
Br  0.500  0.000  0.000
Br  0.000  0.500  0.000
Br  0.500  0.500  0.000

Properties
DOS(E_F) (states/eV/f.u.): 4.569
E_form (uncorrected) (eV/atom): -1.126
DFT total energy (eV per atom): -3.7640
Total magnetic moment (μB/atom): 0.4667

---

First-principles (GGA-PBE) data for crystalline Rb2TlCrBr6 at its relaxed geometry, as listed in the Alexandria database.

Cell: 7.831 8.114 11.259 Å, 90.00 90.33 90.00°
Sites, in units of the cell vectors:
Rb  0.019  0.933  0.247
Rb  0.519  0.567  0.747
Rb  0.981  0.067  0.753
Rb  0.481  0.433  0.253
Tl  0.500  0.000  0.000
Tl  0.000  0.500  0.500
Cr  0.500  0.000  0.500
Cr  0.000  0.500  0.000
Br  0.267  0.671  0.041
Br  0.767  0.829  0.541
Br  0.733  0.329  0.959
Br  0.233  0.171  0.459
Br  0.333  0.736  0.460
Br  0.833  0.764  0.960
Br  0.667  0.264  0.540
Br  0.167  0.236  0.040
Br  0.920  0.513  0.218
Br  0.420  0.987  0.718
Br  0.080  0.487  0.782
Br  0.580  0.013  0.282

Properties
E_form (uncorrected) (eV/atom): -1.185
E above lowest polymorph (meV/atom): 0
DFT total energy (eV per atom): -3.5810
Total magnetic moment (μB/atom): 0.2990

---

First-principles (GGA-PBE) data for crystalline RbTl2CrBr6 at its relaxed geometry, as listed in the Alexandria database.

Cell: 8.026 8.025 8.118 Å, 60.34 60.34 59.94°
Sites, in units of the cell vectors:
Rb  0.816  0.816  0.551
Tl  0.535  0.535  0.395
Tl  0.023  0.023  0.930
Cr  0.325  0.325  0.024
Br  0.532  0.214  0.240
Br  0.214  0.014  0.240
Br  0.013  0.533  0.240
Br  0.427  0.641  0.798
Br  0.641  0.133  0.798
Br  0.134  0.427  0.798

Properties
E_form (uncorrected) (eV/atom): -0.977
DFT total energy (eV per atom): -3.5129
Total magnetic moment (μB/atom): 0.2999

---

First-principles (GGA-PBE) data for crystalline Rb2TlCrBr at its relaxed geometry, as listed in the Alexandria database.

Cell: 6.638 5.215 6.638 Å, 90.00 90.00 90.00°
Sites, in units of the cell vectors:
Cr  0.000  0.500  0.000
Tl  0.500  0.500  0.500
Br  0.000  0.000  0.000
Rb  0.000  0.000  0.500
Rb  0.500  0.000  0.000

Properties
DOS(E_F) (states/eV/f.u.): 3.827
E_form (uncorrected) (eV/atom): 0.060
DFT total energy (eV per atom): -3.0597
Total magnetic moment (μB/atom): 0.8711

---

First-principles (GGA-PBE) data for crystalline Rb2TlCrBr6 at its relaxed geometry, as listed in the Alexandria database.

Cell: 8.012 8.012 8.011 Å, 60.00 60.00 90.00°
Sites, in units of the cell vectors:
Cr  0.500  0.500  0.000
Tl  0.000  0.000  0.000
Br  0.277  0.277  0.447
Br  0.723  0.723  0.553
Br  0.277  0.277  0.000
Br  0.723  0.723  0.000
Br  0.723  0.277  0.000
Br  0.277  0.723  0.000
Rb  0.750  0.250  0.500
Rb  0.250  0.750  0.500

Properties
DOS(E_F) (states/eV/f.u.): 0.000
E_form (uncorrected) (eV/atom): -1.166
E above lowest polymorph (meV/atom): 18
DFT total energy (eV per atom): -3.5626
Total magnetic moment (μB/atom): 0.3000

---

First-principles (GGA-PBE) data for crystalline Rb2CrWBr6 at its relaxed geometry, as listed in the Alexandria database.

Cell: 7.636 7.636 7.649 Å, 60.06 60.06 90.00°
Sites, in units of the cell vectors:
Cr  0.500  0.500  0.000
Br  0.244  0.244  0.511
Br  0.756  0.756  0.489
Br  0.245  0.245  0.000
Br  0.755  0.755  0.000
Br  0.755  0.245  0.000
Br  0.245  0.755  0.000
Rb  0.750  0.250  0.500
Rb  0.250  0.750  0.500
W  0.000  0.000  0.000

Properties
DOS(E_F) (states/eV/f.u.): 0.253
E_form (uncorrected) (eV/atom): -0.772
DFT total energy (eV per atom): -4.2271
Total magnetic moment (μB/atom): 0.8000

---

First-principles (GGA-PBE) data for crystalline RbYCr2Br8 at its relaxed geometry, as listed in the Alexandria database.

Cell: 7.114 7.293 9.904 Å, 65.95 69.36 67.60°
Sites, in units of the cell vectors:
Rb  0.000  0.000  0.500
Y  0.000  0.000  0.000
Cr  0.430  0.475  0.708
Cr  0.570  0.525  0.292
Br  0.154  0.716  0.255
Br  0.743  0.754  0.046
Br  0.670  0.234  0.180
Br  0.846  0.284  0.745
Br  0.257  0.246  0.954
Br  0.330  0.766  0.820
Br  0.542  0.735  0.451
Br  0.458  0.265  0.549

Properties
E_form (uncorrected) (eV/atom): -1.181
DFT total energy (eV per atom): -4.5192
Total magnetic moment (μB/atom): 0.6667

---

First-principles (GGA-PBE) data for crystalline RbZnCrBr6 at its relaxed geometry, as listed in the Alexandria database.

Cell: 6.735 6.735 7.785 Å, 90.00 90.00 60.00°
Sites, in units of the cell vectors:
Rb  0.000  0.000  0.000
Zn  0.333  0.333  0.500
Cr  0.667  0.667  0.500
Br  0.987  0.377  0.312
Br  0.377  0.987  0.688
Br  0.636  0.377  0.688
Br  0.987  0.636  0.688
Br  0.377  0.636  0.312
Br  0.635  0.987  0.312

Properties
E_form (uncorrected) (eV/atom): -0.996
DFT total energy (eV per atom): -3.4291
Total magnetic moment (μB/atom): 0.3333

---

First-principles (GGA-PBE) data for crystalline Rb2ZnCrBr6 at its relaxed geometry, as listed in the Alexandria database.

Cell: 7.531 7.531 7.523 Å, 59.96 59.96 90.00°
Sites, in units of the cell vectors:
Cr  0.500  0.500  0.000
Zn  0.000  0.000  0.000
Br  0.250  0.250  0.499
Br  0.750  0.750  0.501
Br  0.253  0.253  0.000
Br  0.747  0.747  0.000
Br  0.747  0.253  0.000
Br  0.253  0.747  0.000
Rb  0.750  0.250  0.500
Rb  0.250  0.750  0.500

Properties
DOS(E_F) (states/eV/f.u.): 1.599
E_form (uncorrected) (eV/atom): -1.101
DFT total energy (eV per atom): -3.3881
Total magnetic moment (μB/atom): 0.4000

---

First-principles (GGA-PBE) data for crystalline RbZn2CrBr8 at its relaxed geometry, as listed in the Alexandria database.

Cell: 6.577 6.577 11.365 Å, 73.18 73.18 60.00°
Sites, in units of the cell vectors:
Rb  0.500  0.500  0.500
Zn  0.265  0.265  0.206
Zn  0.735  0.735  0.794
Cr  0.000  0.000  0.000
Br  0.191  0.191  0.428
Br  0.653  0.275  0.139
Br  0.809  0.809  0.572
Br  0.934  0.653  0.139
Br  0.066  0.347  0.861
Br  0.275  0.934  0.139
Br  0.725  0.066  0.861
Br  0.347  0.725  0.861

Properties
E_form (uncorrected) (eV/atom): -0.943
DFT total energy (eV per atom): -3.1536
Total magnetic moment (μB/atom): 0.2479

---

First-principles (GGA-PBE) data for crystalline CrReBr at its relaxed geometry, as listed in the Alexandria database.

Cell: 7.042 6.736 3.020 Å, 83.08 71.72 25.20°
Sites, in units of the cell vectors:
Br  0.985  0.985  0.015
Cr  0.323  0.323  0.677
Re  0.692  0.692  0.308

Properties
DOS(E_F) (states/eV/f.u.): 2.660
E_form (uncorrected) (eV/atom): 0.772
E above lowest polymorph (meV/atom): 243
DFT total energy (eV per atom): -7.1432
Total magnetic moment (μB/atom): 0.4198

---

First-principles (GGA-PBE) data for crystalline CrReBr at its relaxed geometry, as listed in the Alexandria database.

Cell: 3.226 3.226 5.920 Å, 90.00 90.00 120.00°
Sites, in units of the cell vectors:
Br  0.000  0.000  0.025
Cr  0.667  0.333  0.370
Re  0.333  0.667  0.605

Properties
DOS(E_F) (states/eV/f.u.): 1.499
E_form (uncorrected) (eV/atom): 0.529
E above lowest polymorph (meV/atom): 0
DFT total energy (eV per atom): -7.3861
Total magnetic moment (μB/atom): 0.0000

---

First-principles (GGA-PBE) data for crystalline CrReBr2 at its relaxed geometry, as listed in the Alexandria database.

Cell: 4.306 3.266 5.602 Å, 93.45 90.00 90.00°
Sites, in units of the cell vectors:
Br  0.000  0.946  0.993
Br  0.000  0.554  0.507
Cr  0.500  0.250  0.250
Re  0.500  0.750  0.750

Properties
DOS(E_F) (states/eV/f.u.): 3.351
E_form (uncorrected) (eV/atom): 1.009
E above lowest polymorph (meV/atom): 818
DFT total energy (eV per atom): -5.3449
Total magnetic moment (μB/atom): 0.8946